#A
This record from the Alexandria database describes crystalline Te3MoP at its relaxed geometry. The functional is PBE-GGA.

Unit cell a=5.189 b=5.189 c=5.189 alpha=90.00 beta=90.00 gamma=90.00
Positions (direct):
Te1 0.000 0.000 0.500
Te2 0.000 0.500 0.000
Te3 0.500 0.000 0.000
Mo1 0.500 0.500 0.500
P1 0.000 0.000 0.000

#B
This record from the Alexandria database describes crystalline Te3MoP at its relaxed geometry. The functional is PBE-GGA.

Unit cell a=5.223 b=5.223 c=5.223 alpha=90.00 beta=90.00 gamma=90.00
Positions (direct):
Te1 0.000 0.000 0.500
Te2 0.000 0.500 0.000
Te3 0.500 0.000 0.000
Mo1 0.000 0.000 0.000
P1 0.500 0.500 0.500

Which of them is the most stable? Correct choice: #B.

#A
This record from the Alexandria database describes crystalline TiMoP3 at its relaxed geometry. The functional is PBE-GGA.

Unit cell a=4.629 b=4.629 c=4.629 alpha=90.00 beta=90.00 gamma=90.00
Positions (direct):
Ti1 0.000 0.000 0.000
Mo1 0.500 0.500 0.500
P1 0.000 0.000 0.500
P2 0.000 0.500 0.000
P3 0.500 0.000 0.000

#B
This record from the Alexandria database describes crystalline TiMoP3 at its relaxed geometry. The functional is PBE-GGA.

Unit cell a=4.651 b=4.651 c=4.651 alpha=90.00 beta=90.00 gamma=90.00
Positions (direct):
Ti1 0.000 0.000 0.000
Mo1 0.500 0.500 0.500
P1 0.000 0.500 0.500
P2 0.500 0.000 0.500
P3 0.500 0.500 0.000

Which of them is the most stable? Correct choice: #B.

#A
This record from the Alexandria database describes crystalline Tl2MoP at its relaxed geometry. The functional is PBE-GGA.

Unit cell a=4.922 b=3.503 c=5.040 alpha=90.00 beta=106.88 gamma=90.00
Positions (direct):
Tl1 0.000 0.000 0.000
Tl2 0.000 0.500 0.500
Mo1 0.500 0.000 0.500
P1 0.500 0.500 0.000

#B
This record from the Alexandria database describes crystalline Tl2MoP at its relaxed geometry. The functional is PBE-GGA.

Unit cell a=10.277 b=10.277 c=10.277 alpha=17.28 beta=17.28 gamma=17.28
Positions (direct):
Tl1 0.248 0.248 0.248
Tl2 0.752 0.752 0.752
Mo1 0.500 0.500 0.500
P1 0.000 0.000 0.000

#C
This record from the Alexandria database describes crystalline Tl2MoP at its relaxed geometry. The functional is PBE-GGA.

Unit cell a=2.992 b=2.992 c=9.367 alpha=90.00 beta=90.00 gamma=90.00
Positions (direct):
Tl1 0.000 0.000 0.243
Tl2 0.000 0.000 0.757
Mo1 0.500 0.500 0.000
P1 0.500 0.500 0.500

Which of them is the most stable? Correct choice: #A.

#A
This record from the Alexandria database describes crystalline Tl2MoP at its relaxed geometry. The functional is PBE-GGA.

Unit cell a=3.193 b=3.193 c=8.785 alpha=90.00 beta=90.00 gamma=90.00
Positions (direct):
Tl1 0.000 0.000 0.000
Tl2 0.500 0.500 0.356
Mo1 0.000 0.000 0.618
P1 0.500 0.500 0.729

#B
This record from the Alexandria database describes crystalline Tl2MoP at its relaxed geometry. The functional is PBE-GGA.

Unit cell a=5.362 b=5.362 c=5.362 alpha=132.10 beta=132.10 gamma=70.07
Positions (direct):
Tl1 0.000 0.000 0.000
Tl2 0.750 0.250 0.500
Mo1 0.250 0.750 0.500
P1 0.500 0.500 0.000

Which of them is the most stable? Correct choice: #A.

#A
This record from the Alexandria database describes crystalline Tl2MoP at its relaxed geometry. The functional is PBE-GGA.

Unit cell a=8.469 b=8.469 c=8.469 alpha=159.33 beta=153.93 gamma=33.50
Positions (direct):
Tl1 0.172 0.172 0.000
Tl2 0.828 0.828 0.000
Mo1 0.000 0.500 0.500
P1 0.500 0.000 0.500

#B
This record from the Alexandria database describes crystalline Tl2MoP at its relaxed geometry. The functional is PBE-GGA.

Unit cell a=3.797 b=3.797 c=5.605 alpha=90.00 beta=90.00 gamma=90.00
Positions (direct):
Tl1 0.000 0.000 0.250
Tl2 0.000 0.000 0.750
Mo1 0.500 0.500 0.000
P1 0.500 0.500 0.500

Which of them is the most stable? Correct choice: #A.

#A
This record from the Alexandria database describes crystalline Tl2MoP at its relaxed geometry. The functional is PBE-GGA.

Unit cell a=5.315 b=5.315 c=3.003 alpha=90.00 beta=90.00 gamma=106.71
Positions (direct):
Tl1 0.000 0.500 0.000
Tl2 0.500 0.000 0.000
Mo1 0.000 0.000 0.500
P1 0.500 0.500 0.500

#B
This record from the Alexandria database describes crystalline Tl2MoP at its relaxed geometry. The functional is PBE-GGA.

Unit cell a=6.248 b=6.248 c=6.248 alpha=150.65 beta=131.79 gamma=57.45
Positions (direct):
Tl1 0.000 0.000 0.000
Tl2 0.706 0.206 0.500
Mo1 0.253 0.753 0.500
P1 0.411 0.411 0.000

Which of them is the most stable? Correct choice: #B.

#A
This record from the Alexandria database describes crystalline Tl3MoP at its relaxed geometry. The functional is PBE-GGA.

Unit cell a=5.305 b=5.305 c=5.305 alpha=90.00 beta=90.00 gamma=90.00
Positions (direct):
Tl1 0.000 0.000 0.500
Tl2 0.000 0.500 0.000
Tl3 0.500 0.000 0.000
Mo1 0.500 0.500 0.500
P1 0.000 0.000 0.000

#B
This record from the Alexandria database describes crystalline Tl3MoP at its relaxed geometry. The functional is PBE-GGA.

Unit cell a=5.424 b=5.424 c=5.424 alpha=90.00 beta=90.00 gamma=90.00
Positions (direct):
Tl1 0.000 0.000 0.500
Tl2 0.000 0.500 0.000
Tl3 0.500 0.000 0.000
Mo1 0.000 0.000 0.000
P1 0.500 0.500 0.500

Which of them is the most stable? Correct choice: #B.

#A
This record from the Alexandria database describes crystalline TlMo2P at its relaxed geometry. The functional is PBE-GGA.

Unit cell a=9.535 b=9.535 c=9.535 alpha=154.79 beta=154.79 gamma=35.95
Positions (direct):
Tl1 0.000 0.000 0.000
Tl2 0.750 0.250 0.500
Mo1 0.210 0.625 0.085
Mo2 0.375 0.460 0.585
Mo3 0.540 0.125 0.915
Mo4 0.875 0.790 0.415
P1 0.250 0.750 0.500
P2 0.500 0.500 0.000

#B
This record from the Alexandria database describes crystalline TlMo2P at its relaxed geometry. The functional is PBE-GGA.

Unit cell a=7.237 b=7.237 c=7.237 alpha=28.03 beta=28.03 gamma=28.03
Positions (direct):
Tl1 0.000 0.000 0.000
Mo1 0.223 0.223 0.223
Mo2 0.777 0.777 0.777
P1 0.500 0.500 0.500

Which of them is the most stable? Correct choice: #B.